Entry 1:
Below is an optimized crystal structure of NaMoW2, with properties calculated at the PBE level.

Calculated values
**Formation enthalpy at 0 K**: 146.0 kJ per mole of atoms
**Fermi-level density of states**: 15.64 states/eV per cell

```
data_NaMoW2
_cell_length_a 7.374
_cell_length_b 7.374
_cell_length_c 5.493
_cell_angle_alpha 90.00
_cell_angle_beta 90.00
_cell_angle_gamma 90.00
_space_group_name_H-M_alt 'I -4 2 d'
_space_group_IT_number 122
_space_group_name_Hall 'I -4 2bw'
loop_
_atom_site_label
_atom_site_fract_x
_atom_site_fract_y
_atom_site_fract_z
Na1 0.000 0.000 0.000
Mo1 0.000 0.000 0.500
W1 0.216 0.250 0.625
```

***

Entry 2:
Below is an optimized crystal structure of NaMo2W, with properties calculated at the PBE level.

Calculated values
**Formation enthalpy at 0 K**: 86.5 kJ per mole of atoms
**Fermi-level density of states**: 17.88 states/eV per cell

```
data_NaMo2W
_cell_length_a 6.413
_cell_length_b 6.413
_cell_length_c 6.413
_cell_angle_alpha 90.00
_cell_angle_beta 90.00
_cell_angle_gamma 90.00
_space_group_name_H-M_alt 'F m -3 m'
_space_group_IT_number 225
_space_group_name_Hall '-F 4 2 3'
loop_
_atom_site_label
_atom_site_fract_x
_atom_site_fract_y
_atom_site_fract_z
Na1 0.000 0.000 0.000
Mo1 0.250 0.250 0.250
W1 0.000 0.000 0.500
```

***

Entry 3:
Below is an optimized crystal structure of Na2YMo, with properties calculated at the PBE level.

Calculated values
**Formation enthalpy at 0 K**: 104.4 kJ per mole of atoms
**Fermi-level density of states**: 14.39 states/eV per cell

```
data_Na2YMo
_cell_length_a 7.394
_cell_length_b 7.394
_cell_length_c 7.394
_cell_angle_alpha 90.00
_cell_angle_beta 90.00
_cell_angle_gamma 90.00
_space_group_name_H-M_alt 'F m -3 m'
_space_group_IT_number 225
_space_group_name_Hall '-F 4 2 3'
loop_
_atom_site_label
_atom_site_fract_x
_atom_site_fract_y
_atom_site_fract_z
Na1 0.250 0.250 0.250
Y1 0.000 0.000 0.000
Mo1 0.000 0.000 0.500
```

***

Entry 4:
Below is an optimized crystal structure of NaYMo3, with properties calculated at the PBE level.

Calculated values
**Formation enthalpy at 0 K**: 210.8 kJ per mole of atoms
**Fermi-level density of states**: 6.56 states/eV per cell

```
data_NaYMo3
_cell_length_a 4.719
_cell_length_b 4.719
_cell_length_c 4.719
_cell_angle_alpha 90.00
_cell_angle_beta 90.00
_cell_angle_gamma 90.00
_space_group_name_H-M_alt 'P m -3 m'
_space_group_IT_number 221
_space_group_name_Hall '-P 4 2 3'
loop_
_atom_site_label
_atom_site_fract_x
_atom_site_fract_y
_atom_site_fract_z
Na1 0.000 0.000 0.000
Y1 0.500 0.500 0.500
Mo1 0.000 0.000 0.500
```

***

Entry 5:
Below is an optimized crystal structure of NaYMo2, with properties calculated at the PBE level.

Calculated values
**Formation enthalpy at 0 K**: 126.7 kJ per mole of atoms
**Fermi-level density of states**: 27.32 states/eV per cell

```
data_NaYMo2
_cell_length_a 6.862
_cell_length_b 6.862
_cell_length_c 6.862
_cell_angle_alpha 90.00
_cell_angle_beta 90.00
_cell_angle_gamma 90.00
_space_group_name_H-M_alt 'F m -3 m'
_space_group_IT_number 225
_space_group_name_Hall '-F 4 2 3'
loop_
_atom_site_label
_atom_site_fract_x
_atom_site_fract_y
_atom_site_fract_z
Na1 0.000 0.000 0.000
Y1 0.000 0.000 0.500
Mo1 0.250 0.250 0.250
```

***

Entry 6:
Below is an optimized crystal structure of NaY3Mo, with properties calculated at the PBE level.

Calculated values
**Formation enthalpy at 0 K**: 41.3 kJ per mole of atoms
**Fermi-level density of states**: 7.97 states/eV per cell

```
data_NaY3Mo
_cell_length_a 5.499
_cell_length_b 5.499
_cell_length_c 5.499
_cell_angle_alpha 90.00
_cell_angle_beta 90.00
_cell_angle_gamma 90.00
_space_group_name_H-M_alt 'P m -3 m'
_space_group_IT_number 221
_space_group_name_Hall '-P 4 2 3'
loop_
_atom_site_label
_atom_site_fract_x
_atom_site_fract_y
_atom_site_fract_z
Na1 0.000 0.000 0.000
Y1 0.000 0.500 0.500
Mo1 0.500 0.500 0.500
```

***

Entry 7:
Below is an optimized crystal structure of NaYMo2, with properties calculated at the PBE level.

Calculated values
**Formation enthalpy at 0 K**: 127.5 kJ per mole of atoms
**Fermi-level density of states**: 17.09 states/eV per cell

```
data_NaYMo2
_cell_length_a 7.977
_cell_length_b 7.977
_cell_length_c 5.253
_cell_angle_alpha 90.00
_cell_angle_beta 90.00
_cell_angle_gamma 90.00
_space_group_name_H-M_alt 'I -4 2 d'
_space_group_IT_number 122
_space_group_name_Hall 'I -4 2bw'
loop_
_atom_site_label
_atom_site_fract_x
_atom_site_fract_y
_atom_site_fract_z
Na1 0.000 0.000 0.000
Y1 0.000 0.000 0.500
Mo1 0.227 0.250 0.125
```

***

Entry 8:
Below is an optimized crystal structure of Na2YMo, with properties calculated at the PBE level.

Calculated values
**Formation enthalpy at 0 K**: 85.3 kJ per mole of atoms
**Fermi-level density of states**: 15.44 states/eV per cell

```
data_Na2YMo
_cell_length_a 4.129
_cell_length_b 4.129
_cell_length_c 24.708
_cell_angle_alpha 90.00
_cell_angle_beta 90.00
_cell_angle_gamma 90.00
_space_group_name_H-M_alt 'I -4 2 d'
_space_group_IT_number 122
_space_group_name_Hall 'I -4 2bw'
loop_
_atom_site_label
_atom_site_fract_x
_atom_site_fract_y
_atom_site_fract_z
Na1 0.234 0.250 0.125
Y1 0.000 0.000 0.500
Mo1 0.000 0.000 0.000
```

***

Entry 9:
Below is an optimized crystal structure of NaY3Mo, with properties calculated at the PBE level.

Calculated values
**Formation enthalpy at 0 K**: 142.3 kJ per mole of atoms
**Fermi-level density of states**: 3.91 states/eV per cell

```
data_NaY3Mo
_cell_length_a 5.411
_cell_length_b 5.411
_cell_length_c 5.411
_cell_angle_alpha 90.00
_cell_angle_beta 90.00
_cell_angle_gamma 90.00
_space_group_name_H-M_alt 'P m -3 m'
_space_group_IT_number 221
_space_group_name_Hall '-P 4 2 3'
loop_
_atom_site_label
_atom_site_fract_x
_atom_site_fract_y
_atom_site_fract_z
Na1 0.000 0.000 0.000
Y1 0.000 0.000 0.500
Mo1 0.500 0.500 0.500
```

***

Entry 10:
Below is an optimized crystal structure of Na3YMo, with properties calculated at the PBE level.

Calculated values
**Formation enthalpy at 0 K**: 133.1 kJ per mole of atoms
**Fermi-level density of states**: 6.13 states/eV per cell

```
data_Na3YMo
_cell_length_a 5.595
_cell_length_b 5.595
_cell_length_c 5.595
_cell_angle_alpha 90.00
_cell_angle_beta 90.00
_cell_angle_gamma 90.00
_space_group_name_H-M_alt 'P m -3 m'
_space_group_IT_number 221
_space_group_name_Hall '-P 4 2 3'
loop_
_atom_site_label
_atom_site_fract_x
_atom_site_fract_y
_atom_site_fract_z
Na1 0.000 0.000 0.500
Y1 0.500 0.500 0.500
Mo1 0.000 0.000 0.000
```

***

Entry 11:
Below is an optimized crystal structure of Na3YMo, with properties calculated at the PBE level.

Calculated values
**Formation enthalpy at 0 K**: 213.1 kJ per mole of atoms
**Fermi-level density of states**: 0.18 states/eV per cell

```
data_Na3YMo
_cell_length_a 5.378
_cell_length_b 5.378
_cell_length_c 5.378
_cell_angle_alpha 90.00
_cell_angle_beta 90.00
_cell_angle_gamma 90.00
_space_group_name_H-M_alt 'P m -3 m'
_space_group_IT_number 221
_space_group_name_Hall '-P 4 2 3'
loop_
_atom_site_label
_atom_site_fract_x
_atom_site_fract_y
_atom_site_fract_z
Na1 0.000 0.000 0.500
Y1 0.000 0.000 0.000
Mo1 0.500 0.500 0.500
```

***

Entry 12:
Below is an optimized crystal structure of NaZn2Mo, with properties calculated at the PBE level.

Calculated values
**Formation enthalpy at 0 K**: 52.0 kJ per mole of atoms
**Fermi-level density of states**: 9.50 states/eV per cell

```
data_NaZn2Mo
_cell_length_a 6.493
_cell_length_b 6.493
_cell_length_c 6.493
_cell_angle_alpha 90.00
_cell_angle_beta 90.00
_cell_angle_gamma 90.00
_space_group_name_H-M_alt 'F m -3 m'
_space_group_IT_number 225
_space_group_name_Hall '-F 4 2 3'
loop_
_atom_site_label
_atom_site_fract_x
_atom_site_fract_y
_atom_site_fract_z
Na1 0.000 0.000 0.000
Zn1 0.250 0.250 0.250
Mo1 0.000 0.000 0.500
```

***

Entry 13:
Below is an optimized crystal structure of NaZn3Mo, with properties calculated at the PBE level.

Calculated values
**Formation enthalpy at 0 K**: 65.3 kJ per mole of atoms
**Fermi-level density of states**: 3.40 states/eV per cell

```
data_NaZn3Mo
_cell_length_a 5.024
_cell_length_b 5.024
_cell_length_c 5.024
_cell_angle_alpha 90.00
_cell_angle_beta 90.00
_cell_angle_gamma 90.00
_space_group_name_H-M_alt 'P m -3 m'
_space_group_IT_number 221
_space_group_name_Hall '-P 4 2 3'
loop_
_atom_site_label
_atom_site_fract_x
_atom_site_fract_y
_atom_site_fract_z
Na1 0.000 0.000 0.000
Zn1 0.000 0.500 0.500
Mo1 0.500 0.500 0.500
```

***

Volume
In order: 298.65, 263.76, 404.32, 105.06, 323.15, 166.27, 334.20, 421.27, 158.47, 175.15, 155.55, 273.75, 126.78
Unit: Å³/cell
Energy above the most stable polymorph in this dataset
In order: 1.84, 0.00, 0.79, 0.00, 0.00, 0.00, 0.03, 0.00, 5.23, 0.00, 4.14, 0.00, 0.00
Unit: eV per formula unit
Size of the total moment
In order: 0.000, 0.000, 0.656, 0.568, 0.190, 0.000, 0.000, 0.472, 0.316, 0.613, 0.000, 0.554, 0.409
Unit: μB/atom